# SrFeO3

Crystalline SrFeO3 at its relaxed geometry (PBE+U, Alexandria via LeMat-Bulk).

POSCAR file:
```
SrFeO3
1.0
3.522 0.000 0.000
0.000 3.228 -4.407
0.000 3.228 4.407
Sr O Fe
1 3 1
direct
0.000 0.442 0.558 Sr
0.000 0.157 0.843 O
0.500 0.230 0.266 O
0.500 0.734 0.770 O
0.500 0.065 0.935 Fe
```

The value obtained for the total energy is -0.44899 Ry/atom. As for the density of states at the Fermi level: 0.0 states/eV/f.u.